[1]
Hg2Au3O8 | PBE | optimized geometry

## Properties
formation energy without anion corrections = 0.0310 eV/atom
final energy = -3.823 eV per atom
ΔE to the lowest computed polymorph = 0.000 eV per atom

abc: 5.964 6.381 6.344
angles: 120.20 110.44 90.00
Positions (direct):
O  0.997  0.876  0.752
O  0.998  0.620  0.240
O  0.002  0.380  0.760
O  0.003  0.124  0.248
O  0.623  0.682  0.824
O  0.377  0.859  0.176
O  0.623  0.141  0.824
O  0.377  0.318  0.176
Hg  0.649  0.689  0.378
Hg  0.351  0.311  0.622
Au  0.000  0.250  0.000
Au  0.000  0.750  0.000
Au  0.500  0.000  0.000



[2]
Rb2Au2I5 | PBE | optimized geometry

## Properties
formation energy without anion corrections = -0.6530 eV/atom
final energy = -2.458 eV per atom
ΔE to the lowest computed polymorph = 0.012 eV per atom

abc: 4.954 10.964 9.360
angles: 117.09 90.00 103.06
Last column: magnetic moment on the atom in μB.
Positions (direct):
Rb  0.582  0.164  0.805  0.00
Rb  0.418  0.836  0.195  0.00
I  0.913  0.826  0.516  0.03
I  0.000  0.000  0.000  0.20
I  0.791  0.583  0.887  0.04
I  0.087  0.174  0.484  0.03
I  0.209  0.417  0.113  0.04
Au  0.860  0.720  0.718  0.13
Au  0.140  0.280  0.282  0.13



[3]
Rb2NbSbI6 | PBE | optimized geometry

## Properties
formation energy without anion corrections = -0.5734 eV/atom
final energy = -3.116 eV per atom

abc: 8.346 8.346 8.924
angles: 62.12 62.12 90.00
Last column: magnetic moment on the atom in μB.
Positions (direct):
I  0.744  0.744  0.000  0.00
I  0.716  0.716  0.568  -0.02
I  0.256  0.744  0.000  -0.01
I  0.256  0.256  0.000  0.00
I  0.284  0.284  0.432  -0.02
I  0.744  0.256  0.000  -0.01
Nb  0.500  0.500  0.000  1.93
Sb  0.000  0.000  0.000  -0.15
Rb  0.250  0.750  0.500  0.00
Rb  0.750  0.250  0.500  0.00



[4]
KReRh | PBE | optimized geometry

## Properties
final energy = -6.218 eV per atom
ΔE to the lowest computed polymorph = 0.058 eV per atom

abc: 7.592 7.592 7.592
angles: 157.86 157.86 31.51
Positions (direct):
K  0.007  0.007  0.000
Re  0.298  0.298  0.000
Rh  0.695  0.695  0.000



Here are the calculated magnetic moment numbers, same order: 0.000, 0.091, 0.200, 0.000 (μB/atom).